Li5Cd4Rh | PBE | relaxed

Its density is 4.97 Mg/m³. The calculation puts the total energy at -43.6 eV per cell. The value obtained for the formation energy is -0.120 eV/atom. The value obtained for the density of states at the Fermi level is 8.6 states/eV/cell. For the total moment, the calculation gives 0.00 μB per cell. Its crystal system is monoclinic.

The space group is C2/m (No. 12) and the conventional cell measures 14.555, 4.180 and 7.066 Å, with angles of 90.00, 114.14 and 90.00 degrees. The asymmetric unit holds Li at (0.000, 0.000, 0.000), Li at (0.144, 0.500, 0.652), Li at (0.192, 0.500, 0.122), Cd at (0.008, 0.500, 0.237), Cd at (0.171, 0.000, 0.408) and Rh at (0.000, 0.000, 0.500).